Record 1
First-principles (PBE-GGA) data for CuPt6Rh5 after structural relaxation, as listed in Alexandria via LeMat-Bulk.

Properties
For the density of states at the Fermi level, the calculation gives 1.886 states/eV per atom. For the total energy, the calculation gives -6.46 eV per atom. The energy of formation comes out at -3.2 kJ per mole of atoms.

Cell and atoms, written as CIF:
```
data_CuPt6Rh5
_chemical_formula_sum 'Cu2 Pt12 Rh10'
_cell_length_a 3.901
_cell_length_b 7.805
_cell_length_c 11.681
_cell_angle_alpha 90.00
_cell_angle_beta 90.00
_cell_angle_gamma 90.00
_space_group_name_H-M_alt 'I m m m'
_space_group_IT_number 71
_space_group_name_Hall '-I 2 2'
loop_
_atom_site_label
_atom_site_type_symbol
_atom_site_fract_x
_atom_site_fract_y
_atom_site_fract_z
_atom_site_occupancy
Cu1 Cu 0.000 0.000 0.000 1
Pt1 Pt 0.000 0.247 0.166 1
Pt2 Pt 0.000 0.253 0.500 1
Rh1 Rh 0.000 0.000 0.334 1
Rh2 Rh 0.000 0.500 0.000 1
Rh3 Rh 0.000 0.500 0.334 1
```

Record 2
First-principles (PBE-GGA) data for CrCd2Au after structural relaxation, as listed in Alexandria via LeMat-Bulk.

Properties
For the density of states at the Fermi level, the calculation gives 0.449 states/eV per atom. For the total energy, the calculation gives -3.55 eV per atom. The energy of formation comes out at 12.6 kJ per mole of atoms.

Cell and atoms, written as CIF:
```
data_CrCd2Au
_chemical_formula_sum 'Cr4 Cd8 Au4'
_cell_length_a 6.711
_cell_length_b 6.711
_cell_length_c 6.711
_cell_angle_alpha 90.00
_cell_angle_beta 90.00
_cell_angle_gamma 90.00
_space_group_name_H-M_alt 'F m -3 m'
_space_group_IT_number 225
_space_group_name_Hall '-F 4 2 3'
loop_
_atom_site_label
_atom_site_type_symbol
_atom_site_fract_x
_atom_site_fract_y
_atom_site_fract_z
_atom_site_occupancy
Cr1 Cr 0.000 0.000 0.000 1
Cd1 Cd 0.250 0.250 0.250 1
Au1 Au 0.000 0.000 0.500 1
```